No. 1
First-principles (PBE-GGA) data for an optimized crystal structure of As3PCl, as listed in Alexandria via LeMat-Bulk.

V ... 22.8 Å³ per atom
ΔE to the lowest computed polymorph ... 3.46 eV/f.u.

Cell: 4.848 4.848 4.848 Å, 90.00 90.00 90.00°
Element x y z (fractional)
As1 0.000 0.000 0.500
As2 0.000 0.500 0.000
As3 0.500 0.000 0.000
P1 0.500 0.500 0.500
Cl1 0.000 0.000 0.000

***

No. 2
First-principles (PBE-GGA) data for an optimized crystal structure of As2PCl, as listed in Alexandria via LeMat-Bulk.

V ... 22.0 Å³ per atom
ΔE to the lowest computed polymorph ... 0.39 eV/f.u.

Cell: 7.845 3.595 6.949 Å, 90.00 115.82 90.00°
Element x y z (fractional)
As1 0.237 0.000 0.336
As2 0.263 0.500 0.664
As3 0.737 0.500 0.336
As4 0.763 0.000 0.664
P1 0.000 0.000 0.500
P2 0.500 0.500 0.500
Cl1 0.000 0.500 0.000
Cl2 0.500 0.000 0.000

***

No. 3
First-principles (PBE-GGA) data for an optimized crystal structure of AsPCl2, as listed in Alexandria via LeMat-Bulk.

V ... 20.0 Å³ per atom
ΔE to the lowest computed polymorph ... 3.08 eV/f.u.

Cell: 3.155 3.155 27.837 Å, 90.00 90.00 120.00°
Element x y z (fractional)
As1 0.000 0.000 0.000
As2 0.333 0.667 0.667
As3 0.667 0.333 0.333
P1 0.000 0.000 0.500
P2 0.333 0.667 0.167
P3 0.667 0.333 0.833
Cl1 0.000 0.000 0.088
Cl2 0.000 0.000 0.912
Cl3 0.333 0.667 0.579
Cl4 0.333 0.667 0.755
Cl5 0.667 0.333 0.245
Cl6 0.667 0.333 0.421

***

No. 4
First-principles (PBE-GGA) data for an optimized crystal structure of As2PCl, as listed in Alexandria via LeMat-Bulk.

V ... 20.5 Å³ per atom
ΔE to the lowest computed polymorph ... 2.13 eV/f.u.

Cell: 3.549 3.767 6.141 Å, 90.00 90.00 90.00°
Element x y z (fractional)
As1 0.000 0.000 0.000
As2 0.500 0.000 0.500
P1 0.000 0.500 0.500
Cl1 0.500 0.500 0.000

***

No. 5
First-principles (PBE-GGA) data for an optimized crystal structure of AsP3Cl, as listed in Alexandria via LeMat-Bulk.

V ... 22.0 Å³ per atom
ΔE to the lowest computed polymorph ... 0.00 eV/f.u.

Cell: 4.792 4.792 4.792 Å, 90.00 90.00 90.00°
Element x y z (fractional)
As1 0.000 0.000 0.000
P1 0.000 0.000 0.500
P2 0.000 0.500 0.000
P3 0.500 0.000 0.000
Cl1 0.500 0.500 0.500

***

No. 6
First-principles (PBE-GGA) data for an optimized crystal structure of AsPCl2, as listed in Alexandria via LeMat-Bulk.

V ... 19.1 Å³ per atom
ΔE to the lowest computed polymorph ... 3.32 eV/f.u.

Cell: 3.134 5.586 8.747 Å, 90.00 90.00 90.00°
Element x y z (fractional)
As1 0.000 0.000 0.000
As2 0.500 0.500 0.500
P1 0.000 0.000 0.500
P2 0.500 0.500 0.000
Cl1 0.000 0.500 0.238
Cl2 0.000 0.500 0.762
Cl3 0.500 0.000 0.262
Cl4 0.500 0.000 0.738

***

No. 7
First-principles (PBE-GGA) data for an optimized crystal structure of AsPCl2, as listed in Alexandria via LeMat-Bulk.

V ... 19.3 Å³ per atom
ΔE to the lowest computed polymorph ... 3.32 eV/f.u.

Cell: 6.208 8.776 3.248 Å, 90.00 119.38 90.00°
Element x y z (fractional)
As1 0.000 0.000 0.000
As2 0.500 0.500 0.000
P1 0.000 0.500 0.000
P2 0.500 0.000 0.000
Cl1 0.250 0.250 0.000
Cl2 0.250 0.750 0.000
Cl3 0.750 0.250 0.000
Cl4 0.750 0.750 0.000

***

No. 8
First-principles (PBE-GGA) data for an optimized crystal structure of As2PCl, as listed in Alexandria via LeMat-Bulk.

V ... 18.2 Å³ per atom
ΔE to the lowest computed polymorph ... 2.06 eV/f.u.

Cell: 4.690 4.690 6.616 Å, 90.00 90.00 90.00°
Element x y z (fractional)
As1 0.000 0.000 0.000
As2 0.000 0.500 0.250
As3 0.500 0.000 0.750
As4 0.500 0.500 0.500
P1 0.000 0.500 0.750
P2 0.500 0.000 0.250
Cl1 0.000 0.000 0.500
Cl2 0.500 0.500 0.000

***

No. 9
First-principles (PBE-GGA) data for an optimized crystal structure of As2PCl, as listed in Alexandria via LeMat-Bulk.

V ... 20.2 Å³ per atom
ΔE to the lowest computed polymorph ... 1.53 eV/f.u.

Cell: 5.519 7.680 4.695 Å, 90.00 125.75 90.00°
Element x y z (fractional)
As1 0.250 0.250 0.000
As2 0.250 0.750 0.000
As3 0.750 0.250 0.000
As4 0.750 0.750 0.000
P1 0.000 0.000 0.500
P2 0.500 0.500 0.500
Cl1 0.000 0.500 0.500
Cl2 0.500 0.000 0.500

***

No. 10
First-principles (PBE-GGA) data for an optimized crystal structure of As2PCl, as listed in Alexandria via LeMat-Bulk.

V ... 23.7 Å³ per atom
ΔE to the lowest computed polymorph ... 0.88 eV/f.u.

Cell: 6.848 6.848 8.091 Å, 90.00 90.00 90.00°
Element x y z (fractional)
As1 0.200 0.250 0.125
As2 0.250 0.700 0.375
As3 0.250 0.800 0.875
As4 0.300 0.250 0.625
As5 0.700 0.750 0.625
As6 0.750 0.200 0.875
As7 0.750 0.300 0.375
As8 0.800 0.750 0.125
P1 0.000 0.000 0.000
P2 0.000 0.500 0.250
P3 0.500 0.000 0.750
P4 0.500 0.500 0.500
Cl1 0.000 0.000 0.500
Cl2 0.000 0.500 0.750
Cl3 0.500 0.000 0.250
Cl4 0.500 0.500 0.000

***

No. 11
First-principles (PBE-GGA) data for an optimized crystal structure of AsPCl, as listed in Alexandria via LeMat-Bulk.

V ... 28.6 Å³ per atom
ΔE to the lowest computed polymorph ... 0.41 eV/f.u.

Cell: 5.640 4.498 6.930 Å, 90.00 102.80 90.00°
Element x y z (fractional)
As1 0.000 0.000 0.000
As2 0.500 0.500 0.000
P1 0.425 0.000 0.122
P2 0.925 0.500 0.122
Cl1 0.023 0.500 0.426
Cl2 0.523 0.000 0.426

***

No. 12
First-principles (PBE-GGA) data for an optimized crystal structure of AsPCl2, as listed in Alexandria via LeMat-Bulk.

V ... 23.6 Å³ per atom
ΔE to the lowest computed polymorph ... 4.07 eV/f.u.

Cell: 2.965 2.965 10.725 Å, 90.00 90.00 90.00°
Element x y z (fractional)
As1 0.000 0.000 0.000
P1 0.000 0.000 0.500
Cl1 0.500 0.500 0.346
Cl2 0.500 0.500 0.654